Record 1
Below is a geometry-optimized AlCrPbF2 structure, with properties calculated at the GGA+U level.

Lattice parameters (Å, degrees): 4.0178 4.0178 6.5550 90.00 90.00 90.00
Positions (direct):
Al1 0.0000 0.0000 0.0000
Cr1 0.0000 0.0000 0.5000
Pb1 0.5000 0.5000 0.0000
F1 0.0000 0.5000 0.5000
F2 0.5000 0.0000 0.5000

Results
As for the final energy: -24.55 eV per cell. The value obtained for the density of states at the Fermi level is 0.419 states/eV per atom.

***

Record 2
Below is a geometry-optimized AlCrPdF6 structure, with properties calculated at the GGA+U level.

Lattice parameters (Å, degrees): 5.3045 5.3045 10.5284 90.00 90.00 120.00
Positions (direct):
Al1 0.3333 0.6667 0.2500
Al2 0.6667 0.3333 0.7500
Cr1 0.3333 0.6667 0.7500
Cr2 0.6667 0.3333 0.2500
Pd1 0.0000 0.0000 0.0000
Pd2 0.0000 0.0000 0.5000
F1 0.0338 0.3903 0.1529
F2 0.0338 0.6435 0.3471
F3 0.3565 0.3903 0.3471
F4 0.3565 0.9662 0.1529
F5 0.3903 0.0338 0.6529
F6 0.3903 0.3565 0.8471
F7 0.6097 0.6435 0.1529
F8 0.6097 0.9662 0.3471
F9 0.6435 0.0338 0.8471
F10 0.6435 0.6097 0.6529
F11 0.9662 0.3565 0.6529
F12 0.9662 0.6097 0.8471

Results
As for the final energy: -98.18 eV per cell. The value obtained for the density of states at the Fermi level is 1.335 states/eV per atom.